(1)
# AlCrTe2I, optimized geometry, DFT PBE-GGA
# E: -3.96 eV per atom
# ΔE to the lowest computed polymorph: 0.0 meV per atom
# Fermi-level density of states: 4.03 states/eV per cell
# Spin magnetization: 2.56 μB/cell
data_AlCrTe2I
_space_group_name_H-M_alt 'P 1'
_space_group_IT_number 1
_cell_length_a 5.228
_cell_length_b 5.228
_cell_length_c 5.774
_cell_angle_alpha 90.00
_cell_angle_beta 90.00
_cell_angle_gamma 90.00
loop_
_space_group_symop_operation_xyz
'x,y,z'
loop_
_atom_site_label
_atom_site_type_symbol
_atom_site_fract_x
_atom_site_fract_y
_atom_site_fract_z
Al1 Al 0.000 0.000 0.000
Cr1 Cr 0.500 0.500 0.500
Te1 Te 0.000 0.500 0.500
Te2 Te 0.500 0.000 0.500
I1 I 0.500 0.500 0.000



(2)
# AlCrTe2I, optimized geometry, DFT PBE-GGA
# E: -3.76 eV per atom
# ΔE to the lowest computed polymorph: 193.4 meV per atom
# Fermi-level density of states: 5.07 states/eV per cell
# Spin magnetization: 4.26 μB/cell
data_AlCrTe2I
_space_group_name_H-M_alt 'P 1'
_space_group_IT_number 1
_cell_length_a 5.372
_cell_length_b 5.372
_cell_length_c 5.521
_cell_angle_alpha 90.00
_cell_angle_beta 90.00
_cell_angle_gamma 90.00
loop_
_space_group_symop_operation_xyz
'x,y,z'
loop_
_atom_site_label
_atom_site_type_symbol
_atom_site_fract_x
_atom_site_fract_y
_atom_site_fract_z
Al1 Al 0.000 0.000 0.000
Cr1 Cr 0.500 0.500 0.500
Te1 Te 0.000 0.500 0.000
Te2 Te 0.500 0.000 0.000
I1 I 0.000 0.000 0.500



(3)
# AlTlCrI2, optimized geometry, DFT PBE-GGA
# E: -3.29 eV per atom
# Fermi-level density of states: 3.69 states/eV per cell
# Spin magnetization: 5.78 μB/cell
data_AlTlCrI2
_space_group_name_H-M_alt 'P 1'
_space_group_IT_number 1
_cell_length_a 5.813
_cell_length_b 5.813
_cell_length_c 5.427
_cell_angle_alpha 90.00
_cell_angle_beta 90.00
_cell_angle_gamma 90.00
loop_
_space_group_symop_operation_xyz
'x,y,z'
loop_
_atom_site_label
_atom_site_type_symbol
_atom_site_fract_x
_atom_site_fract_y
_atom_site_fract_z
Al1 Al 0.000 0.000 0.000
Tl1 Tl 0.000 0.000 0.500
Cr1 Cr 0.500 0.500 0.500
I1 I 0.000 0.500 0.000
I2 I 0.500 0.000 0.000